Material: MnTePS2
Method: DFT, PBE
State: relaxed

Cell and atoms, written as extended XYZ:
```
5
Lattice="4.435 0.000 0.000 0.000 4.435 0.000 0.000 0.000 4.869" Properties=species:S:1:pos:R:3 pbc="T T T"
Mn 0.000 0.000 0.000
Te 2.218 2.218 2.435
P 0.000 0.000 2.435
S 0.000 2.218 0.000
S 2.218 0.000 0.000
```

Calculated values
- relative energy among the computed polymorphs (meV/atom) = 0.0
- magnetization (μB per atom) = 0.520
- formation energy without anion corrections (eV/atom) = 0.31
- VASP energy (eV/atom) = -4.88